# Tl4V3InF12

Tl4V3InF12 after structural relaxation (PBE+U, Alexandria via LeMat-Bulk).

The structure in POSCAR format:
```
Tl4V3InF12
1.0
-4.3484 4.3484 4.3484
4.3484 -4.3484 4.3484
4.3484 4.3484 -4.3484
Tl V In F
4 3 1 12
Direct
0.0000 0.0000 0.5000
0.0000 0.5000 0.0000
0.5000 0.0000 0.0000
0.5000 0.5000 0.5000
0.0000 0.5000 0.5000
0.5000 0.0000 0.5000
0.5000 0.5000 0.0000
0.0000 0.0000 0.0000
0.0000 0.2585 0.2585
0.0000 0.7415 0.7415
0.2500 0.5000 0.7500
0.2500 0.7500 0.5000
0.2585 0.0000 0.2585
0.2585 0.2585 0.0000
0.5000 0.2500 0.7500
0.5000 0.7500 0.2500
0.7415 0.0000 0.7415
0.7415 0.7415 0.0000
0.7500 0.2500 0.5000
0.7500 0.5000 0.2500
```

D(E_F)	0.1535	states/eV/atom
symmetry	Im-3m, No. 229
crystal system	cubic
total magnetization	9.6	Bohr magnetons per cell
electronic total energy	-5.07	eV per atom